# 1
# PBE NbFeOs2, relaxed
data_NbFeOs2
_cell_length_a 3.148
_cell_length_b 3.148
_cell_length_c 6.022
_cell_angle_alpha 90.00
_cell_angle_beta 90.00
_cell_angle_gamma 90.00
_space_group_name_H-M_alt 'P 1'
_space_group_IT_number 1
loop_
_space_group_symop_operation_xyz
'x,y,z'
loop_
_atom_site_label
_atom_site_fract_x
_atom_site_fract_y
_atom_site_fract_z
_atom_site_occupancy
Nb1 0.500 0.500 0.500 1
Os1 0.000 0.000 0.764 1
Os2 0.000 0.000 0.236 1
Fe1 0.500 0.500 0.000 1
# SG: P4/mmm
# Energy (eV/cell): -40.85

---

# 2
# PBE Nb6FeOs, relaxed
data_Nb6FeOs
_cell_length_a 4.575
_cell_length_b 4.575
_cell_length_c 7.239
_cell_angle_alpha 71.58
_cell_angle_beta 71.58
_cell_angle_gamma 90.00
_space_group_name_H-M_alt 'P 1'
_space_group_IT_number 1
loop_
_space_group_symop_operation_xyz
'x,y,z'
loop_
_atom_site_label
_atom_site_fract_x
_atom_site_fract_y
_atom_site_fract_z
_atom_site_occupancy
Nb1 0.750 0.750 0.501 1
Nb2 0.620 0.120 0.760 1
Nb3 0.120 0.620 0.760 1
Nb4 0.380 0.880 0.240 1
Nb5 0.250 0.250 0.499 1
Nb6 0.880 0.380 0.240 1
Fe1 0.500 0.500 0.000 1
Os1 0.000 0.000 0.000 1
# SG: I4/mmm
# Energy (eV/cell): -81.00

---

# 3
# PBE Nb2FeOs2, relaxed
data_Nb2FeOs2
_cell_length_a 7.263
_cell_length_b 7.263
_cell_length_c 3.117
_cell_angle_alpha 90.00
_cell_angle_beta 90.00
_cell_angle_gamma 90.00
_space_group_name_H-M_alt 'P 1'
_space_group_IT_number 1
loop_
_space_group_symop_operation_xyz
'x,y,z'
loop_
_atom_site_label
_atom_site_fract_x
_atom_site_fract_y
_atom_site_fract_z
_atom_site_occupancy
Nb1 0.168 0.668 0.500 1
Nb2 0.668 0.832 0.500 1
Nb3 0.832 0.332 0.500 1
Nb4 0.332 0.168 0.500 1
Os1 0.365 0.865 0.000 1
Os2 0.865 0.635 0.000 1
Os3 0.635 0.135 0.000 1
Os4 0.135 0.365 0.000 1
Fe1 0.000 0.000 0.000 1
Fe2 0.500 0.500 0.000 1
# SG: P4/mbm
# Energy (eV/cell): -98.64

---

# 4
# PBE NbFe2Os, relaxed
data_NbFe2Os
_cell_length_a 3.784
_cell_length_b 3.785
_cell_length_c 3.785
_cell_angle_alpha 90.00
_cell_angle_beta 90.00
_cell_angle_gamma 90.00
_space_group_name_H-M_alt 'P 1'
_space_group_IT_number 1
loop_
_space_group_symop_operation_xyz
'x,y,z'
loop_
_atom_site_label
_atom_site_fract_x
_atom_site_fract_y
_atom_site_fract_z
_atom_site_occupancy
Nb1 0.500 0.500 0.500 1
Os1 0.500 0.000 0.000 1
Fe1 0.000 0.000 0.500 1
Fe2 0.000 0.500 0.000 1
# ΔE to the lowest computed polymorph (eV per formula unit): 0.000
# SG: P4/mmm
# Energy (eV/cell): -38.18

---

# 5
# PBE NbFe2Os, relaxed
data_NbFe2Os
_cell_length_a 4.285
_cell_length_b 4.285
_cell_length_c 4.285
_cell_angle_alpha 60.00
_cell_angle_beta 60.00
_cell_angle_gamma 60.00
_space_group_name_H-M_alt 'P 1'
_space_group_IT_number 1
loop_
_space_group_symop_operation_xyz
'x,y,z'
loop_
_atom_site_label
_atom_site_fract_x
_atom_site_fract_y
_atom_site_fract_z
_atom_site_occupancy
Nb1 0.000 0.000 0.000 1
Os1 0.500 0.500 0.500 1
Fe1 0.250 0.250 0.250 1
Fe2 0.750 0.750 0.750 1
# ΔE to the lowest computed polymorph (eV per formula unit): 0.021
# SG: Fm-3m
# Energy (eV/cell): -38.16

---

# 6
# PBE Nb3FeOs, relaxed
data_Nb3FeOs
_cell_length_a 4.504
_cell_length_b 4.504
_cell_length_c 4.504
_cell_angle_alpha 90.00
_cell_angle_beta 90.00
_cell_angle_gamma 90.00
_space_group_name_H-M_alt 'P 1'
_space_group_IT_number 1
loop_
_space_group_symop_operation_xyz
'x,y,z'
loop_
_atom_site_label
_atom_site_fract_x
_atom_site_fract_y
_atom_site_fract_z
_atom_site_occupancy
Nb1 0.000 0.500 0.000 1
Nb2 0.000 0.000 0.500 1
Nb3 0.500 0.000 0.000 1
Os1 0.500 0.500 0.500 1
Fe1 0.000 0.000 0.000 1
# ΔE to the lowest computed polymorph (eV per formula unit): 0.000
# SG: Pm-3m
# Energy (eV/cell): -45.41

---

# 7
# PBE Nb2FeOs, relaxed
data_Nb2FeOs
_cell_length_a 7.032
_cell_length_b 7.032
_cell_length_c 5.656
_cell_angle_alpha 51.57
_cell_angle_beta 51.57
_cell_angle_gamma 90.00
_space_group_name_H-M_alt 'P 1'
_space_group_IT_number 1
loop_
_space_group_symop_operation_xyz
'x,y,z'
loop_
_atom_site_label
_atom_site_fract_x
_atom_site_fract_y
_atom_site_fract_z
_atom_site_occupancy
Nb1 0.620 0.125 0.250 1
Nb2 0.130 0.625 0.250 1
Nb3 0.375 0.380 0.750 1
Nb4 0.875 0.870 0.750 1
Os1 0.000 0.000 0.000 1
Os2 0.750 0.250 0.500 1
Fe1 0.500 0.500 0.000 1
Fe2 0.250 0.750 0.500 1
# SG: I-42d
# Energy (eV/cell): -75.70

---

# 8
# PBE NbFeOs, relaxed
data_NbFeOs
_cell_length_a 3.177
_cell_length_b 3.177
_cell_length_c 4.999
_cell_angle_alpha 108.53
_cell_angle_beta 108.53
_cell_angle_gamma 90.00
_space_group_name_H-M_alt 'P 1'
_space_group_IT_number 1
loop_
_space_group_symop_operation_xyz
'x,y,z'
loop_
_atom_site_label
_atom_site_fract_x
_atom_site_fract_y
_atom_site_fract_z
_atom_site_occupancy
Nb1 0.950 0.950 0.899 1
Os1 0.619 0.619 0.238 1
Fe1 0.281 0.281 0.563 1
# SG: I4mm
# Energy (eV/cell): -29.77

---

# 9
# PBE Nb2FeOs3, relaxed
data_Nb2FeOs3
_cell_length_a 5.143
_cell_length_b 5.143
_cell_length_c 8.088
_cell_angle_alpha 90.00
_cell_angle_beta 90.00
_cell_angle_gamma 120.00
_space_group_name_H-M_alt 'P 1'
_space_group_IT_number 1
loop_
_space_group_symop_operation_xyz
'x,y,z'
loop_
_atom_site_label
_atom_site_fract_x
_atom_site_fract_y
_atom_site_fract_z
_atom_site_occupancy
Nb1 0.667 0.333 0.434 1
Nb2 0.333 0.667 0.566 1
Nb3 0.333 0.667 0.934 1
Nb4 0.667 0.333 0.066 1
Fe1 0.000 0.000 0.500 1
Fe2 0.000 0.000 0.000 1
Os1 0.170 0.340 0.250 1
Os2 0.340 0.170 0.750 1
Os3 0.830 0.660 0.750 1
Os4 0.170 0.830 0.250 1
Os5 0.830 0.170 0.750 1
Os6 0.660 0.830 0.250 1
# SG: P6_3/mmc
# Energy (eV/cell): -125.94

---

# 10
# PBE Nb3Fe8Os, relaxed
data_Nb3Fe8Os
_cell_length_a 4.743
_cell_length_b 4.743
_cell_length_c 7.856
_cell_angle_alpha 90.00
_cell_angle_beta 90.00
_cell_angle_gamma 120.00
_space_group_name_H-M_alt 'P 1'
_space_group_IT_number 1
loop_
_space_group_symop_operation_xyz
'x,y,z'
loop_
_atom_site_label
_atom_site_fract_x
_atom_site_fract_y
_atom_site_fract_z
_atom_site_occupancy
Nb1 0.667 0.333 0.447 1
Nb2 0.667 0.333 0.071 1
Nb3 0.000 0.000 0.921 1
Fe1 0.333 0.667 0.500 1
Fe2 0.333 0.667 0.003 1
Fe3 0.502 0.003 0.750 1
Fe4 0.502 0.498 0.750 1
Fe5 0.997 0.498 0.750 1
Fe6 0.163 0.326 0.250 1
Fe7 0.163 0.837 0.250 1
Fe8 0.674 0.837 0.250 1
Os1 0.000 0.000 0.560 1
# SG: P3m1
# Energy (eV/cell): -110.53

---

# 11
# PBE PuNbFeOs, relaxed
data_PuNbFeOs
_cell_length_a 4.578
_cell_length_b 4.578
_cell_length_c 4.578
_cell_angle_alpha 60.00
_cell_angle_beta 60.00
_cell_angle_gamma 60.00
_space_group_name_H-M_alt 'P 1'
_space_group_IT_number 1
loop_
_space_group_symop_operation_xyz
'x,y,z'
loop_
_atom_site_label
_atom_site_fract_x
_atom_site_fract_y
_atom_site_fract_z
_atom_site_occupancy
Nb1 0.000 0.000 0.000 1
Os1 0.250 0.250 0.250 1
Fe1 0.750 0.750 0.750 1
Pu1 0.500 0.500 0.500 1
# SG: F-43m
# Energy (eV/cell): -43.50

---

# 12
# PBE NbFeSnOs, relaxed
data_NbFeSnOs
_cell_length_a 4.478
_cell_length_b 4.478
_cell_length_c 4.478
_cell_angle_alpha 60.00
_cell_angle_beta 60.00
_cell_angle_gamma 60.00
_space_group_name_H-M_alt 'P 1'
_space_group_IT_number 1
loop_
_space_group_symop_operation_xyz
'x,y,z'
loop_
_atom_site_label
_atom_site_fract_x
_atom_site_fract_y
_atom_site_fract_z
_atom_site_occupancy
Nb1 0.750 0.750 0.750 1
Os1 0.500 0.500 0.500 1
Sn1 0.250 0.250 0.250 1
Fe1 0.000 0.000 0.000 1
# SG: F-43m
# Energy (eV/cell): -33.74

---

Record-wise volume values, in Å³ per atom: 14.9 16.9 16.4 13.6 13.9 18.3 16.7 15.0 15.4 12.8 17.0 15.9
Record-wise ΔE_f values, in eV/atom: 0.036 -0.112 0.348 0.012 0.017 0.898 0.496 -0.003 -0.113 -0.116 0.150 0.007